No. 1
# Ti3S4

An optimized crystal structure of Ti3S4 (PBE, Alexandria).

## Properties
space group: No. 164
total energy: -6.9502 eV per atom

abc: 3.408 3.408 12.411
angles: 90.00 90.00 120.00
Fractional coordinates of all 7 atoms:
Ti: 0.000 0.000 0.000
Ti: 0.333 0.667 0.753
Ti: 0.667 0.333 0.247
S: 0.333 0.667 0.119
S: 0.333 0.667 0.362
S: 0.667 0.333 0.638
S: 0.667 0.333 0.881

---

No. 2
# ZnCu2Se

An optimized crystal structure of ZnCu2Se (PBE, Alexandria).

## Properties
space group: No. 12
total energy: -3.1456 eV per atom

abc: 4.190 4.190 5.187
angles: 100.63 100.63 44.32
Fractional coordinates of all 4 atoms:
Zn: 0.000 0.000 0.000
Cu: 0.253 0.253 0.785
Cu: 0.747 0.747 0.215
Se: 0.500 0.500 0.500

---

No. 3
# AlCuGeRu2

An optimized crystal structure of AlCuGeRu2 (PBE, Alexandria).

## Properties
space group: No. 123
energy of formation from the pure elements: 1.0785 eV per atom
total energy: -5.1231 eV per atom

abc: 4.531 4.531 4.530
angles: 90.00 90.00 90.00
Fractional coordinates of all 5 atoms:
Al: 0.000 0.000 0.000
Cu: 0.500 0.500 0.000
Ge: 0.000 0.000 0.500
Ru: 0.000 0.500 0.500
Ru: 0.500 0.000 0.500

---

No. 4
# Na3Pu2O8

An optimized crystal structure of Na3Pu2O8 (PBE, Alexandria).

## Properties
space group: No. 12
total energy: -7.7704 eV per atom

abc: 6.864 6.864 7.078
angles: 118.57 118.57 60.08
Fractional coordinates of all 13 atoms:
Na: 0.000 0.000 0.000
Na: 0.243 0.757 0.500
Na: 0.757 0.243 0.500
Pu: 0.263 0.263 0.531
Pu: 0.737 0.737 0.469
O: 0.097 0.646 0.684
O: 0.176 0.176 0.683
O: 0.344 0.344 0.371
O: 0.354 0.903 0.316
O: 0.646 0.097 0.684
O: 0.656 0.656 0.629
O: 0.824 0.824 0.317
O: 0.903 0.354 0.316